(1)
Below is a PBEsol-optimized structure of KNiP2, with properties calculated at the SCAN level.

Calculated values
The value obtained for the energy above the most stable polymorph in this dataset is 0.0 meV/atom. Its symmetry is No. 166.

```
4
Lattice="-1.428 3.293 0.638 -2.065 1.613 -2.534 -6.377 -1.110 1.868" Properties=species:S:1:pos:R:3 pbc="T T T"
K -4.935 1.898 -0.014
Ni 0.000 0.000 0.000
P -1.847 1.276 -0.305
P -8.024 2.520 0.277
```


(2)
Below is a PBEsol-optimized structure of K2NiP, with properties calculated at the SCAN level.

Calculated values
Its symmetry is No. 25.

```
4
Lattice="-1.008 2.030 2.179 -2.525 0.891 -1.998 -5.518 -6.917 3.891" Properties=species:S:1:pos:R:3 pbc="T T T"
K -5.011 -6.282 3.533
K -3.614 -0.855 1.393
Ni -3.310 -4.149 2.334
P -5.394 -3.087 2.648
```


| no. | density of states at the Fermi level (states/eV/f.u.) | calculated formation energy (meV per atom) |
| --- | --- | --- |
| 1 | 1.1 | -404 |
| 2 | 1.3 | 13 |